No. 1
A relaxed LaAsCl2 crystal. Source: Alexandria via LeMat-Bulk, functional PBE.

It has space group C2/m (No. 12), with a = 13.550 Å, b = 4.053 Å, c = 4.732 Å, α = 90.00°, β = 95.47° and γ = 90.00°. The asymmetric unit holds La at (0.000, 0.000, 0.000), As at (0.000, 0.500, 0.500) and Cl at (0.150, 0.500, 0.206).

The energy comes out at -19.07 eV/f.u. Its total moment is 0.00 μB/cell. Its crystal system is monoclinic. The uncorrected formation energy is -1450.2 meV per atom. The offset from the most stable computed form comes out at 0 meV per atom.



No. 2
A relaxed La2AsCl2 crystal. Source: Alexandria via LeMat-Bulk, functional PBE.

It has space group R-3m (No. 166, hexagonal axes), with a = 4.2915 Å, b = 4.2915 Å, c = 30.6002 Å, α = 90.00°, β = 90.00° and γ = 120.00°. The asymmetric unit holds La at (0.0000, 0.0000, 0.1108), As at (0.0000, 0.0000, 0.5000) and Cl at (0.0000, 0.0000, 0.2759).

The energy comes out at -28.17 eV/f.u. The density of states at the Fermi level comes out at 2.365 states/eV/f.u. Its total moment is 0.00 μB/cell. Its crystal system is trigonal. The uncorrected formation energy is -1994.0 meV per atom.